Entry 1:
# PBE NaLi4Tl6, relaxed
# ΔH_f (0 K): -0.122 eV/atom
# SG: P-6m2 (187)
# crystal system: hexagonal
data_NaLi4Tl6
_chemical_formula_sum 'Na1 Li4 Tl6'
_cell_length_a 8.281
_cell_length_b 8.281
_cell_length_c 4.628
_cell_angle_alpha 90.00
_cell_angle_beta 90.00
_cell_angle_gamma 120.00
_symmetry_space_group_name_H-M 'P 1'
_symmetry_Int_Tables_number 1
_symmetry_space_group_name_Hall 'P 1'
loop_
_atom_site_label
_atom_site_type_symbol
_atom_site_fract_x
_atom_site_fract_y
_atom_site_fract_z
Na1 Na 0.000 0.000 0.000
Li1 Li 0.333 0.667 0.000
Li2 Li 0.408 0.204 0.500
Li3 Li 0.796 0.204 0.500
Li4 Li 0.796 0.592 0.500
Tl1 Tl 0.197 0.393 0.500
Tl2 Tl 0.197 0.803 0.500
Tl3 Tl 0.533 0.066 0.000
Tl4 Tl 0.533 0.467 0.000
Tl5 Tl 0.607 0.803 0.500
Tl6 Tl 0.934 0.467 0.000


Entry 2:
# PBE AcCe2Ga6, relaxed
# ΔH_f (0 K): -0.420 eV/atom
# SG: Immm (71)
# crystal system: orthorhombic
data_AcCe2Ga6
_chemical_formula_sum 'Ac1 Ce2 Ga6'
_cell_length_a 7.714
_cell_length_b 7.714
_cell_length_c 7.714
_cell_angle_alpha 147.02
_cell_angle_beta 115.43
_cell_angle_gamma 74.44
_symmetry_space_group_name_H-M 'P 1'
_symmetry_Int_Tables_number 1
_symmetry_space_group_name_Hall 'P 1'
loop_
_atom_site_label
_atom_site_type_symbol
_atom_site_fract_x
_atom_site_fract_y
_atom_site_fract_z
Ac1 Ac 0.000 0.000 0.000
Ce1 Ce 0.388 0.888 0.500
Ce2 Ce 0.612 0.112 0.500
Ga1 Ga 0.020 0.307 0.713
Ga2 Ga 0.311 0.500 0.811
Ga3 Ga 0.406 0.693 0.713
Ga4 Ga 0.594 0.307 0.287
Ga5 Ga 0.689 0.500 0.189
Ga6 Ga 0.980 0.693 0.287


Entry 3:
# PBE AgSnH2, relaxed
# SG: I-42d (122)
# crystal system: tetragonal
# energy: -2.984 eV per atom
data_AgSnH2
_chemical_formula_sum 'Ag2 Sn2 H4'
_cell_length_a 5.804
_cell_length_b 5.804
_cell_length_c 5.804
_cell_angle_alpha 128.24
_cell_angle_beta 128.24
_cell_angle_gamma 76.23
_symmetry_space_group_name_H-M 'P 1'
_symmetry_Int_Tables_number 1
_symmetry_space_group_name_Hall 'P 1'
loop_
_atom_site_label
_atom_site_type_symbol
_atom_site_fract_x
_atom_site_fract_y
_atom_site_fract_z
Ag1 Ag 0.000 0.000 0.000
Ag2 Ag 0.750 0.250 0.500
Sn1 Sn 0.250 0.750 0.500
Sn2 Sn 0.500 0.500 0.000
H1 H 0.015 0.625 0.890
H2 H 0.375 0.265 0.390
H3 H 0.735 0.125 0.110
H4 H 0.875 0.985 0.610


Entry 4:
# PBE Ba2NpO3F3, relaxed
# SG: P-62m (189)
# crystal system: hexagonal
# energy: -7.317 eV per atom
data_Ba2NpO3F3
_chemical_formula_sum 'Ba2 Np1 O3 F3'
_cell_length_a 6.897
_cell_length_b 6.897
_cell_length_c 3.392
_cell_angle_alpha 90.00
_cell_angle_beta 90.00
_cell_angle_gamma 120.00
_symmetry_space_group_name_H-M 'P 1'
_symmetry_Int_Tables_number 1
_symmetry_space_group_name_Hall 'P 1'
loop_
_atom_site_label
_atom_site_type_symbol
_atom_site_fract_x
_atom_site_fract_y
_atom_site_fract_z
Ba1 Ba 0.333 0.667 0.000
Ba2 Ba 0.667 0.333 0.000
Np1 Np 0.000 0.000 0.500
O1 O 0.000 0.784 0.000
O2 O 0.216 0.216 0.000
O3 O 0.784 0.000 0.000
F1 F 0.000 0.404 0.500
F2 F 0.404 0.000 0.500
F3 F 0.596 0.596 0.500


Entry 5:
# PBE ZrCr2Br, relaxed
# SG: P4mm (99)
# crystal system: tetragonal
# energy: -7.256 eV per atom
data_ZrCr2Br
_chemical_formula_sum 'Zr1 Cr2 Br1'
_cell_length_a 3.135
_cell_length_b 3.135
_cell_length_c 7.837
_cell_angle_alpha 90.00
_cell_angle_beta 90.00
_cell_angle_gamma 90.00
_symmetry_space_group_name_H-M 'P 1'
_symmetry_Int_Tables_number 1
_symmetry_space_group_name_Hall 'P 1'
loop_
_atom_site_label
_atom_site_type_symbol
_atom_site_fract_x
_atom_site_fract_y
_atom_site_fract_z
Zr1 Zr 0.000 0.000 0.000
Cr1 Cr 0.000 0.000 0.613
Cr2 Cr 0.500 0.500 0.760
Br1 Br 0.500 0.500 0.247


Entry 6:
# PBE PtAu, relaxed
# ΔH_f (0 K): 0.126 eV/atom
# SG: I4/mmm (139)
# crystal system: tetragonal
data_PtAu
_chemical_formula_sum 'Pt4 Au4'
_cell_length_a 6.511
_cell_length_b 6.511
_cell_length_c 6.511
_cell_angle_alpha 94.60
_cell_angle_beta 94.60
_cell_angle_gamma 147.08
_symmetry_space_group_name_H-M 'P 1'
_symmetry_Int_Tables_number 1
_symmetry_space_group_name_Hall 'P 1'
loop_
_atom_site_label
_atom_site_type_symbol
_atom_site_fract_x
_atom_site_fract_y
_atom_site_fract_z
Pt1 Pt 0.000 0.337 0.337
Pt2 Pt 0.000 0.663 0.663
Pt3 Pt 0.337 0.000 0.337
Pt4 Pt 0.663 0.000 0.663
Au1 Au 0.341 0.341 0.681
Au2 Au 0.341 0.659 0.000
Au3 Au 0.659 0.341 0.000
Au4 Au 0.659 0.659 0.319


Entry 7:
# PBE YSc5I12, relaxed
# SG: C2/m (12)
# crystal system: monoclinic
# energy: -4.277 eV per atom
data_YSc5I12
_chemical_formula_sum 'Y1 Sc5 I12'
_cell_length_a 7.042
_cell_length_b 7.042
_cell_length_c 15.750
_cell_angle_alpha 90.04
_cell_angle_beta 90.04
_cell_angle_gamma 120.05
_symmetry_space_group_name_H-M 'P 1'
_symmetry_Int_Tables_number 1
_symmetry_space_group_name_Hall 'P 1'
loop_
_atom_site_label
_atom_site_type_symbol
_atom_site_fract_x
_atom_site_fract_y
_atom_site_fract_z
Y1 Y 0.000 0.000 0.000
Sc1 Sc 0.167 0.833 0.500
Sc2 Sc 0.333 0.667 0.000
Sc3 Sc 0.500 0.500 0.500
Sc4 Sc 0.667 0.333 0.000
Sc5 Sc 0.833 0.167 0.500
I1 I 0.000 0.344 0.118
I2 I 0.000 0.656 0.882
I3 I 0.166 0.166 0.386
I4 I 0.167 0.500 0.614
I5 I 0.344 0.000 0.118
I6 I 0.344 0.344 0.882
I7 I 0.500 0.167 0.614
I8 I 0.500 0.833 0.386
I9 I 0.656 0.000 0.882
I10 I 0.656 0.656 0.118
I11 I 0.833 0.500 0.386
I12 I 0.834 0.834 0.614


Entry 8:
# PBE SbTe2PI, relaxed
# SG: P4/mmm (123)
# crystal system: tetragonal
# energy: -2.057 eV per atom
data_SbTe2PI
_chemical_formula_sum 'Sb1 Te2 P1 I1'
_cell_length_a 5.780
_cell_length_b 5.780
_cell_length_c 6.013
_cell_angle_alpha 90.00
_cell_angle_beta 90.00
_cell_angle_gamma 90.00
_symmetry_space_group_name_H-M 'P 1'
_symmetry_Int_Tables_number 1
_symmetry_space_group_name_Hall 'P 1'
loop_
_atom_site_label
_atom_site_type_symbol
_atom_site_fract_x
_atom_site_fract_y
_atom_site_fract_z
Sb1 Sb 0.000 0.000 0.000
Te1 Te 0.000 0.500 0.500
Te2 Te 0.500 0.000 0.500
P1 P 0.500 0.500 0.000
I1 I 0.000 0.000 0.500